[1]
The following is a GGA-PBE calculation of LiSc2CoIr after structural relaxation, from Alexandria via LeMat-Bulk.

Results
Space group: No. 123
Calculated total energy, Ry per atom: -0.4106

Cell: 4.690 3.941 4.690 Å, 90.00 90.00 90.00°
Site moments in Bohr magnetons follow the coordinates.
Fractional coordinates of all 5 atoms:
1 Sc 0.000 0.000 0.500  0.19
2 Sc 0.500 0.000 0.000  0.23
3 Ir 0.000 0.500 0.000  -0.03
4 Co 0.500 0.500 0.500  -1.49
5 Li 0.000 0.000 0.000  0.03


[2]
The following is a GGA-PBE calculation of LiCoSiIr after structural relaxation, from Alexandria via LeMat-Bulk.

Results
Uncorrected formation energy, eV per atom: -0.551
Space group: No. 216
Calculated total energy, Ry per atom: -0.4687

Cell: 4.008 4.008 4.008 Å, 60.00 60.00 60.00°
Fractional coordinates of all 4 atoms:
1 Si 0.750 0.750 0.750
2 Ir 0.500 0.500 0.500
3 Co 0.000 0.000 0.000
4 Li 0.250 0.250 0.250


[3]
The following is a GGA-PBE calculation of SrLiCoIr2 after structural relaxation, from Alexandria via LeMat-Bulk.

Results
Space group: No. 123
Calculated total energy, Ry per atom: -0.3455

Cell: 4.342 4.588 4.342 Å, 90.00 90.00 90.00°
Site moments in Bohr magnetons follow the coordinates.
Fractional coordinates of all 5 atoms:
1 Sr 0.000 0.500 0.000  -0.04
2 Ir 0.000 0.000 0.500  0.23
3 Ir 0.500 0.000 0.000  0.34
4 Co 0.500 0.500 0.500  1.99
5 Li 0.000 0.000 0.000  -0.01


[4]
The following is a GGA-PBE calculation of LiTaCoIr after structural relaxation, from Alexandria via LeMat-Bulk.

Results
Space group: No. 216
Calculated total energy, Ry per atom: -0.5721

Cell: 4.262 4.262 4.262 Å, 60.00 60.00 60.00°
Fractional coordinates of all 4 atoms:
1 Ir 0.250 0.250 0.250
2 Co 0.750 0.750 0.750
3 Li 0.000 0.000 0.000
4 Ta 0.500 0.500 0.500


[5]
The following is a GGA-PBE calculation of LiUCoIr after structural relaxation, from Alexandria via LeMat-Bulk.

Results
Space group: No. 216
Calculated total energy, Ry per atom: -0.5464

Cell: 4.488 4.488 4.488 Å, 60.00 60.00 60.00°
Site moments in Bohr magnetons follow the coordinates.
Fractional coordinates of all 4 atoms:
1 Co 0.750 0.750 0.750  -0.63
2 Ir 0.250 0.250 0.250  -0.11
3 U 0.500 0.500 0.500  1.45
4 Li 0.000 0.000 0.000  0.01


[6]
The following is a GGA-PBE calculation of LiV2CoIr after structural relaxation, from Alexandria via LeMat-Bulk.

Results
Space group: No. 123
Calculated total energy, Ry per atom: -0.4577

Cell: 4.002 4.033 4.002 Å, 90.00 90.00 90.00°
Fractional coordinates of all 5 atoms:
1 Ir 0.000 0.500 0.000
2 Co 0.500 0.500 0.500
3 Li 0.000 0.000 0.000
4 V 0.000 0.000 0.500
5 V 0.500 0.000 0.000


[7]
The following is a GGA-PBE calculation of LiZrCoIr after structural relaxation, from Alexandria via LeMat-Bulk.

Results
Space group: No. 216
Calculated total energy, Ry per atom: -0.5083

Cell: 4.376 4.376 4.376 Å, 60.00 60.00 60.00°
Fractional coordinates of all 4 atoms:
1 Ir 0.000 0.000 0.000
2 Co 0.500 0.500 0.500
3 Zr 0.750 0.750 0.750
4 Li 0.250 0.250 0.250


[8]
The following is a GGA-PBE calculation of LuMgCoIr after structural relaxation, from Alexandria via LeMat-Bulk.

Results
Space group: No. 216
Calculated total energy, Ry per atom: -0.4327

Cell: 4.529 4.529 4.529 Å, 60.00 60.00 60.00°
Fractional coordinates of all 4 atoms:
1 Co 0.750 0.750 0.750
2 Mg 0.000 0.000 0.000
3 Ir 0.250 0.250 0.250
4 Lu 0.500 0.500 0.500


[9]
The following is a GGA-PBE calculation of LuPaCoIr after structural relaxation, from Alexandria via LeMat-Bulk.

Results
Space group: No. 216
Calculated total energy, Ry per atom: -0.5865

Cell: 4.777 4.777 4.777 Å, 60.00 60.00 60.00°
Fractional coordinates of all 4 atoms:
1 Co 0.500 0.500 0.500
2 Pa 0.750 0.750 0.750
3 Lu 0.250 0.250 0.250
4 Ir 0.000 0.000 0.000


[10]
The following is a GGA-PBE calculation of PmLuCoIr after structural relaxation, from Alexandria via LeMat-Bulk.

Results
Space group: No. 216
Calculated total energy, Ry per atom: -0.4972

Cell: 4.818 4.818 4.818 Å, 60.00 60.00 60.00°
Site moments in Bohr magnetons follow the coordinates.
Fractional coordinates of all 4 atoms:
1 Ir 0.000 0.000 0.000  0.07
2 Co 0.500 0.500 0.500  0.87
3 Lu 0.250 0.250 0.250  -0.14
4 Pm 0.750 0.750 0.750  -0.11


[11]
The following is a GGA-PBE calculation of LuScCoIr after structural relaxation, from Alexandria via LeMat-Bulk.

Results
Space group: No. 216
Calculated total energy, Ry per atom: -0.5419

Cell: 4.601 4.601 4.601 Å, 60.00 60.00 60.00°
Site moments in Bohr magnetons follow the coordinates.
Fractional coordinates of all 4 atoms:
1 Sc 0.000 0.000 0.000  -0.11
2 Co 0.250 0.250 0.250  0.66
3 Ir 0.750 0.750 0.750  0.05
4 Lu 0.500 0.500 0.500  -0.13


[12]
The following is a GGA-PBE calculation of SmLuCoIr after structural relaxation, from Alexandria via LeMat-Bulk.

Results
Space group: No. 216
Calculated total energy, Ry per atom: -0.4983

Cell: 4.804 4.804 4.804 Å, 60.00 60.00 60.00°
Site moments in Bohr magnetons follow the coordinates.
Fractional coordinates of all 4 atoms:
1 Co 0.500 0.500 0.500  0.87
2 Ir 0.000 0.000 0.000  0.07
3 Lu 0.750 0.750 0.750  -0.14
4 Sm 0.250 0.250 0.250  -0.10